# 1
PmDyHo2Tm4 | PBE | optimized geometry

The structure belongs to space group C2/c (No. 15); the cell edges are 13.4668, 13.2114 and 6.7400 Å and the angles 90.00°, 120.03° and 90.00°. The inequivalent atoms are Pm at (0.2500, 0.2500, 0.0000), Dy at (0.0000, 0.0000, 0.0000), Ho at (0.0000, 0.5000, 0.0000), Ho at (0.2500, 0.2500, 0.5000), Tm at (0.9999, 0.2505, 0.0009) and Tm at (0.2504, 0.0015, 0.5016).

The value obtained for the energy of formation from the pure elements is 0.449 eV/atom.


# 2
CaCd3Au | PBE | optimized geometry

The structure belongs to space group P6_3/mmc (No. 194); the cell edges are 7.0748, 7.0748 and 5.8091 Å and the angles 90.00°, 90.00° and 120.00°. The inequivalent atoms are Ca at (0.3333, 0.6667, 0.2500), Cd at (0.1953, 0.3907, 0.7500) and Au at (0.0000, 0.0000, 0.0000).

The value obtained for the relative energy among the computed polymorphs is 101 meV per atom. The value obtained for the energy of formation from the pure elements is -0.226 eV/atom.


# 3
LiB11 | PBE | optimized geometry

The structure belongs to space group R3m (No. 160, hexagonal axes); the cell edges are 4.8280, 4.8280 and 12.9674 Å and the angles 90.00°, 90.00° and 120.00°. The inequivalent atoms are Li at (0.0000, 0.0000, 0.0000), B at (0.0000, 0.0000, 0.3148), B at (0.0000, 0.0000, 0.5691), B at (0.0795, 0.5397, 0.8706), B at (0.0934, 0.5467, 0.4592) and B at (0.2012, 0.4025, 0.3496).

The value obtained for the relative energy among the computed polymorphs is 0 meV per atom. The value obtained for the energy of formation from the pure elements is 0.126 eV/atom.


# 4
V3PdCl | PBE | optimized geometry

The structure belongs to space group Pm-3m (No. 221); the cell edges are 4.8657, 4.8657 and 4.8657 Å and the angles 90.00°, 90.00° and 90.00°. The inequivalent atoms are V at (0.0000, 0.0000, 0.5000), Pd at (0.0000, 0.0000, 0.0000) and Cl at (0.5000, 0.5000, 0.5000).

The value obtained for the relative energy among the computed polymorphs is 708 meV per atom. The raw formation energy comes out at 5.82 eV/f.u.


Number 1: size of the total moment 3.12 μB/f.u., electronic total energy -4.100 eV per atom. Number 2: size of the total moment 0.00 μB/f.u., electronic total energy -1.831 eV per atom. Number 3: size of the total moment 0.00 μB/f.u., electronic total energy -6.154 eV per atom. Number 4: size of the total moment 8.20 μB/f.u., electronic total energy -5.715 eV per atom.